[1]
The following is a SCAN calculation of CrAgI2O at its PBEsol-relaxed geometry, from the Alexandria database.

Values from the calculation:
density of states at the Fermi level = 6.1 states/eV/cell
uncorrected formation energy = 136 kJ/mol of formula units
symmetry = P4/mmm (123)

```
CrAgI2O
1.0
3.911 0.000 0.000
0.000 5.594 0.000
0.000 0.000 5.594
Cr Ag I O
1 1 2 1
direct
0.500 0.500 0.500
0.000 0.000 0.000
0.000 0.500 0.000
0.000 0.000 0.500
0.500 0.000 0.000
```

---

[2]
The following is a SCAN calculation of CrIn2Ag at its PBEsol-relaxed geometry, from the Alexandria database.

Values from the calculation:
polymorph energy (0 for the lowest one) = 0.052 eV per atom
density of states at the Fermi level = 1.4 states/eV/cell
symmetry = R-3m (166)

```
CrIn2Ag
1.0
-2.734 -1.454 -0.562
-1.324 -1.779 2.233
-5.793 6.082 3.630
In Cr Ag
2 1 1
direct
0.748 0.748 0.755
0.252 0.252 0.245
0.000 0.000 0.000
0.500 0.500 0.500
```

---

[3]
The following is a SCAN calculation of CrInAg at its PBEsol-relaxed geometry, from the Alexandria database.

Values from the calculation:
final energy = -81.20 eV for the cell shown
density of states at the Fermi level = 1.5 states/eV/cell
symmetry = P3m1 (156)

```
CrInAg
1.0
2.869 0.000 0.000
-1.434 2.484 0.000
0.000 0.000 6.871
Ag Cr In
1 1 1
direct
0.000 0.000 0.984
0.333 0.667 0.670
0.667 0.333 0.346
```

---

[4]
The following is a SCAN calculation of CrInAg2 at its PBEsol-relaxed geometry, from the Alexandria database.

Values from the calculation:
final energy = -114.19 eV for the cell shown
density of states at the Fermi level = 1.5 states/eV/cell
symmetry = F-43m (216)

```
CrInAg2
1.0
-4.289 0.290 1.635
-0.827 -0.830 4.448
-1.163 3.453 2.806
In Ag Cr
1 2 1
direct
0.750 0.750 0.750
0.000 0.000 0.000
0.250 0.250 0.250
0.500 0.500 0.500
```

---

[5]
The following is a SCAN calculation of CrIn2Ag at its PBEsol-relaxed geometry, from the Alexandria database.

Values from the calculation:
polymorph energy (0 for the lowest one) = 0.000 eV per atom
density of states at the Fermi level = 1.1 states/eV/cell
symmetry = P4mm (99)

```
CrIn2Ag
1.0
3.606 0.000 0.000
0.000 3.606 0.000
0.000 0.000 5.945
Ag Cr In
1 1 2
direct
0.000 0.000 0.505
0.500 0.500 0.750
0.500 0.500 0.270
0.000 0.000 0.975
```

---

[6]
The following is a SCAN calculation of Cr2AgIr at its PBEsol-relaxed geometry, from the Alexandria database.

Values from the calculation:
final energy = -138.15 eV for the cell shown
density of states at the Fermi level = 3.9 states/eV/cell
symmetry = Pmmm (47)

```
Cr2AgIr
1.0
2.658 0.000 0.000
0.000 3.788 0.000
0.000 0.000 5.355
Ir Cr Ag
1 2 1
direct
0.500 0.500 0.000
0.000 0.000 0.787
0.000 0.000 0.213
0.500 0.500 0.500
```

---

[7]
The following is a SCAN calculation of CrAgIr2 at its PBEsol-relaxed geometry, from the Alexandria database.

Values from the calculation:
final energy = -191.16 eV for the cell shown
density of states at the Fermi level = 3.7 states/eV/cell
symmetry = P4mm (99)

```
CrAgIr2
1.0
-2.151 -0.072 -1.614
-1.377 -1.323 1.895
-2.437 6.757 2.946
Ir Cr Ag
2 1 1
direct
0.500 0.500 0.237
0.000 0.000 0.986
0.500 0.500 0.768
0.000 0.000 0.509
```

---

[8]
The following is a SCAN calculation of Cr2AgIr at its PBEsol-relaxed geometry, from the Alexandria database.

Values from the calculation:
final energy = -138.68 eV for the cell shown
density of states at the Fermi level = 3.3 states/eV/cell
symmetry = Pmm2 (25)

```
Cr2AgIr
1.0
2.730 0.000 0.000
0.000 3.582 0.000
0.000 0.000 5.614
Ir Cr Ag
1 2 1
direct
0.000 0.000 0.463
0.000 0.000 0.024
0.500 0.500 0.256
0.500 0.500 0.757
```